# 1
A relaxed Ac2TbGa3Rh4 crystal, computed with PBE-GGA.

Values from the calculation:
**Volume**: 21.30 Å³/atom
**Fermi-level density of states**: 0.73 states/eV per atom
**E_tot**: -5.927 eV per atom
**Space group**: P-4m2
**Energy of formation from the pure elements**: -794 meV per atom

a = 4.3823 Å, b = 4.3823 Å, c = 11.0903 Å
α = 90.00°, β = 90.00°, γ = 90.00°
Element x y z (fractional)
Ac 0.0000 0.5000 0.2255
Ac 0.5000 0.0000 0.7745
Tb 0.0000 0.0000 0.5000
Ga 0.0000 0.5000 0.8878
Ga 0.5000 0.0000 0.1122
Ga 0.5000 0.5000 0.5000
Rh 0.0000 0.0000 0.0000
Rh 0.0000 0.5000 0.6528
Rh 0.5000 0.0000 0.3472
Rh 0.5000 0.5000 0.0000


# 2
A relaxed Ac2Ga6TcRh crystal, computed with PBE-GGA.

Values from the calculation:
**Volume**: 22.53 Å³/atom
**Fermi-level density of states**: 0.16 states/eV per atom
**E_tot**: -4.877 eV per atom
**Space group**: Immm
**Energy of formation from the pure elements**: -467 meV per atom

a = 6.8297 Å, b = 6.8297 Å, c = 6.8297 Å
α = 120.26°, β = 119.74°, γ = 90.01°
Element x y z (fractional)
Ac 0.2319 0.2319 0.0000
Ac 0.7681 0.7681 0.0000
Ga 0.2509 0.7509 0.5000
Ga 0.2686 0.2672 0.5358
Ga 0.2686 0.7328 0.0014
Ga 0.7314 0.2672 0.9986
Ga 0.7314 0.7328 0.4642
Ga 0.7491 0.2491 0.5000
Tc 0.0000 0.5000 0.5000
Rh 0.5000 0.0000 0.5000


# 3
A relaxed AcThGaRh crystal, computed with PBE-GGA.

Values from the calculation:
**Volume**: 25.75 Å³/atom
**Fermi-level density of states**: 1.04 states/eV per atom
**E_tot**: -5.881 eV per atom
**Space group**: F-43m
**Energy of formation from the pure elements**: -404 meV per atom

a = 7.4413 Å, b = 7.4413 Å, c = 7.4413 Å
α = 90.00°, β = 90.00°, γ = 90.00°
Element x y z (fractional)
Ac 0.0000 0.0000 0.0000
Ac 0.0000 0.5000 0.5000
Ac 0.5000 0.0000 0.5000
Ac 0.5000 0.5000 0.0000
Th 0.0000 0.0000 0.5000
Th 0.0000 0.5000 0.0000
Th 0.5000 0.0000 0.0000
Th 0.5000 0.5000 0.5000
Ga 0.2500 0.2500 0.7500
Ga 0.2500 0.7500 0.2500
Ga 0.7500 0.2500 0.2500
Ga 0.7500 0.7500 0.7500
Rh 0.2500 0.2500 0.2500
Rh 0.2500 0.7500 0.7500
Rh 0.7500 0.2500 0.7500
Rh 0.7500 0.7500 0.2500


Q: Look up the Fermi-level density of states of the first one.
A: 0.73 states/eV per atom